{"formula": "LiCrO2", "functional": "PBE with a Hubbard U", "state": "relaxed", "cell": [[-2.359, 4.306, 3.374], [-0.754, -2.698, 2.917], [5.550, 1.111, 2.462]], "species": ["Li", "Li", "Li", "Li", "Cr", "Cr", "Cr", "Cr", "O", "O", "O", "O", "O", "O", "O", "O"], "frac_coords": [[0.125, 0.250, 0.092], [0.375, 0.750, 0.908], [0.625, 0.250, 0.092], [0.875, 0.750, 0.908], [0.625, 0.250, 0.640], [0.125, 0.250, 0.640], [0.375, 0.750, 0.360], [0.875, 0.750, 0.360], [0.625, 0.750, 0.147], [0.125, 0.750, 0.147], [0.875, 0.250, 0.407], [0.875, 0.250, 0.853], [0.125, 0.750, 0.593], [0.625, 0.750, 0.593], [0.375, 0.250, 0.853], [0.375, 0.250, 0.407]], "polymorph_energy_ev_per_atom": 0.040}